(1)
Density functional theory data (GGA-PBE) for a relaxed TbHo2Hg2 crystal.

Structure (POSCAR):
```
TbHo2Hg2
1.0
5.140 0.000 0.000
-2.570 4.451 0.000
0.000 0.000 6.353
Tb Ho Hg
1 2 2
direct
0.000 0.000 0.000
0.333 0.667 0.659
0.667 0.333 0.341
0.333 0.667 0.177
0.667 0.333 0.823
```

Relative energy among the computed polymorphs   14.4 kJ/mol of atoms
Mass density   10.168 g/cm³
SG   P-3m1, No. 164
DFT formation energy   -0.2385 eV/atom
Crystal system   trigonal
D(E_F)   1.305 states/eV/atom
Total energy   -3.116 eV/atom


(2)
Density functional theory data (GGA-PBE) for a relaxed Tb2Ho3Hg2 crystal.

Structure (POSCAR):
```
Tb2Ho3Hg2
1.0
4.631 -2.670 0.000
4.631 2.670 0.000
-3.074 0.000 7.908
Tb Ho Hg
2 3 2
direct
0.075 0.075 0.226
0.925 0.925 0.774
0.343 0.343 0.028
0.500 0.500 0.500
0.657 0.657 0.972
0.214 0.214 0.641
0.786 0.786 0.359
```

Relative energy among the computed polymorphs   0.0 kJ/mol of atoms
Mass density   10.308 g/cm³
SG   C2/m, No. 12
DFT formation energy   -0.2403 eV/atom
Crystal system   monoclinic
D(E_F)   1.067 states/eV/atom
Total energy   -3.611 eV/atom


(3)
Density functional theory data (GGA-PBE) for a relaxed Tb3Ho2Hg2 crystal.

Structure (POSCAR):
```
Tb3Ho2Hg2
1.0
1.783 -16.047 0.000
1.783 16.047 0.000
0.000 0.000 3.548
Tb Ho Hg
3 2 2
direct
0.000 0.000 0.000
0.127 0.873 0.000
0.873 0.127 0.000
0.296 0.704 0.500
0.704 0.296 0.500
0.437 0.563 0.500
0.563 0.437 0.500
```

Relative energy among the computed polymorphs   6.1 kJ/mol of atoms
Mass density   9.878 g/cm³
SG   Cmmm, No. 65
DFT formation energy   -0.1795 eV/atom
Crystal system   orthorhombic
D(E_F)   1.523 states/eV/atom
Total energy   -3.558 eV/atom


(4)
Density functional theory data (GGA-PBE) for a relaxed TbHoTcHg crystal.

Structure (POSCAR):
```
TbHoTcHg
1.0
0.000 3.561 3.561
3.561 0.000 3.561
3.561 3.561 0.000
Tb Ho Tc Hg
1 1 1 1
direct
0.000 0.000 0.000
0.500 0.500 0.500
0.250 0.250 0.250
0.750 0.750 0.750
```

Mass density   11.444 g/cm³
SG   F-43m, No. 216
DFT formation energy   -0.1548 eV/atom
Crystal system   cubic
D(E_F)   0.689 states/eV/atom
Total energy   -5.124 eV/atom


(5)
Density functional theory data (GGA-PBE) for a relaxed TbHoHgTe crystal.

Structure (POSCAR):
```
TbHoHgTe
1.0
2.072 1.196 7.775
-2.072 1.196 7.775
0.000 -2.393 7.775
Tb Ho Hg Te
1 1 1 1
direct
0.000 0.000 0.000
0.502 0.502 0.502
0.250 0.250 0.250
0.752 0.752 0.752
```

Mass density   9.363 g/cm³
SG   R3m, No. 160
Crystal system   trigonal
D(E_F)   0.508 states/eV/atom
E_form (uncorrected)   -0.858 eV per atom
Total energy   -4.021 eV/atom


(6)
Density functional theory data (GGA-PBE) for a relaxed TbHoTlHg crystal.

Structure (POSCAR):
```
TbHoTlHg
1.0
3.762 0.000 0.000
0.000 3.762 0.000
0.000 0.000 7.519
Tb Ho Tl Hg
1 1 1 1
direct
0.000 0.000 0.000
0.000 0.000 0.482
0.500 0.500 0.739
0.500 0.500 0.246
```

Relative energy among the computed polymorphs   0.0 kJ/mol of atoms
Mass density   11.375 g/cm³
SG   P4mm, No. 99
DFT formation energy   -0.4116 eV/atom
Crystal system   tetragonal
D(E_F)   1.168 states/eV/atom
Total energy   -3.381 eV/atom


(7)
Density functional theory data (GGA-PBE) for a relaxed Tb2HoTl2Hg2 crystal.

Structure (POSCAR):
```
Tb2HoTl2Hg2
1.0
2.496 1.441 8.844
-2.496 1.441 8.844
0.000 -2.883 8.844
Tb Ho Tl Hg
2 1 2 2
direct
0.132 0.132 0.132
0.868 0.868 0.868
0.000 0.000 0.000
0.275 0.275 0.275
0.725 0.725 0.725
0.434 0.434 0.434
0.566 0.566 0.566
```

Mass density   11.243 g/cm³
SG   R-3m, No. 166
DFT formation energy   -0.1705 eV/atom
Crystal system   trigonal
D(E_F)   0.551 states/eV/atom
Total energy   -2.910 eV/atom


(8)
Density functional theory data (GGA-PBE) for a relaxed TbHoTlHg crystal.

Structure (POSCAR):
```
TbHoTlHg
1.0
0.000 3.761 3.761
3.761 0.000 3.761
3.761 3.761 0.000
Tb Ho Tl Hg
1 1 1 1
direct
0.000 0.000 0.000
0.500 0.500 0.500
0.750 0.750 0.750
0.250 0.250 0.250
```

Relative energy among the computed polymorphs   0.3 kJ/mol of atoms
Mass density   11.379 g/cm³
SG   F-43m, No. 216
DFT formation energy   -0.4089 eV/atom
Crystal system   cubic
D(E_F)   1.046 states/eV/atom
Total energy   -3.378 eV/atom


What did the third record say?
Density functional theory data (GGA-PBE) for a relaxed Tb3Ho2Hg2 crystal.

Structure (POSCAR):
```
Tb3Ho2Hg2
1.0
1.783 -16.047 0.000
1.783 16.047 0.000
0.000 0.000 3.548
Tb Ho Hg
3 2 2
direct
0.000 0.000 0.000
0.127 0.873 0.000
0.873 0.127 0.000
0.296 0.704 0.500
0.704 0.296 0.500
0.437 0.563 0.500
0.563 0.437 0.500
```

Relative energy among the computed polymorphs   6.1 kJ/mol of atoms
Mass density   9.878 g/cm³
SG   Cmmm, No. 65
DFT formation energy   -0.1795 eV/atom
Crystal system   orthorhombic
D(E_F)   1.523 states/eV/atom
Total energy   -3.558 eV/atom


What is the formula in the third record?
Tb3Ho2Hg2


Repeat the seventh record exactly.
Density functional theory data (GGA-PBE) for a relaxed Tb2HoTl2Hg2 crystal.

Structure (POSCAR):
```
Tb2HoTl2Hg2
1.0
2.496 1.441 8.844
-2.496 1.441 8.844
0.000 -2.883 8.844
Tb Ho Tl Hg
2 1 2 2
direct
0.132 0.132 0.132
0.868 0.868 0.868
0.000 0.000 0.000
0.275 0.275 0.275
0.725 0.725 0.725
0.434 0.434 0.434
0.566 0.566 0.566
```

Mass density   11.243 g/cm³
SG   R-3m, No. 166
DFT formation energy   -0.1705 eV/atom
Crystal system   trigonal
D(E_F)   0.551 states/eV/atom
Total energy   -2.910 eV/atom